Entry 1:
A plane-wave DFT calculation with PBE-GGA was carried out for a relaxed SrHg3Te crystal.

POSCAR file:
```
SrHg3Te
1.0
6.0919 0.0000 0.0000
0.0000 6.0919 0.0000
0.0000 0.0000 6.0919
Sr Hg Te
1 3 1
direct
0.0000 0.0000 0.0000
0.0000 0.0000 0.5000
0.0000 0.5000 0.0000
0.5000 0.0000 0.0000
0.5000 0.5000 0.5000
```

Summary:
Relative energy among the computed polymorphs, meV/atom: 174


Entry 2:
A plane-wave DFT calculation with PBE-GGA was carried out for a relaxed SrHgTe2 crystal.

POSCAR file:
```
SrHgTe2
1.0
4.5419 0.0000 0.0000
0.0000 4.5419 0.0000
0.0000 0.0000 6.7282
Sr Hg Te
1 1 2
direct
0.0000 0.0000 0.0000
0.5000 0.5000 0.5873
0.0000 0.0000 0.5036
0.5000 0.5000 0.0260
```


In order of appearance, ΔE_f (raw) = 0.2195, -0.7898 eV per atom.